(1)
Material: Na3TcN
Method: DFT, PBE-GGA
State: relaxed

- Density of states at the Fermi level: 1.937 states/eV per atom
- Total magnetization: 5.1 μB per cell
- SG: Pm-3m

Lattice parameters (Å, degrees): 5.8349 5.8349 5.8349 90.00 90.00 90.00
Positions (direct):
Na 0.0000 0.0000 0.5000
Na 0.0000 0.5000 0.0000
Na 0.5000 0.0000 0.0000
Tc 0.0000 0.0000 0.0000
N 0.5000 0.5000 0.5000

=====

(2)
Material: Na6TcN4
Method: DFT, PBE-GGA
State: relaxed

- Density of states at the Fermi level: 0.135 states/eV per atom
- Total magnetization: 0.0 μB per cell
- SG: P6_3mc

Lattice parameters (Å, degrees): 8.1652 8.1652 6.0277 90.00 90.00 120.00
Positions (direct):
Na 0.0808 0.5404 0.0000
Na 0.1322 0.2643 0.3213
Na 0.1322 0.8678 0.3213
Na 0.2643 0.1322 0.8213
Na 0.4596 0.5404 0.0000
Na 0.4596 0.9192 0.0000
Na 0.5404 0.0808 0.5000
Na 0.5404 0.4596 0.5000
Na 0.7357 0.8678 0.3213
Na 0.8678 0.1322 0.8213
Na 0.8678 0.7357 0.8213
Na 0.9192 0.4596 0.5000
Tc 0.3333 0.6667 0.5881
Tc 0.6667 0.3333 0.0881
N 0.2102 0.4204 0.6933
N 0.2102 0.7898 0.6933
N 0.3333 0.6667 0.2799
N 0.4204 0.2102 0.1933
N 0.5796 0.7898 0.6933
N 0.6667 0.3333 0.7799
N 0.7898 0.2102 0.1933
N 0.7898 0.5796 0.1933

=====

(3)
Material: Na3Tc5N12
Method: DFT, PBE-GGA
State: relaxed

- Density of states at the Fermi level: 0.412 states/eV per atom
- Total magnetization: 0.0 μB per cell
- SG: Ia-3d

Lattice parameters (Å, degrees): 11.1595 11.1595 11.1595 109.47 109.47 109.47
Positions (direct):
Na 0.1250 0.2500 0.3750
Na 0.1250 0.3750 0.7500
Na 0.2500 0.3750 0.1250
Na 0.2500 0.8750 0.6250
Na 0.3750 0.1250 0.2500
Na 0.3750 0.7500 0.1250
Na 0.6250 0.2500 0.8750
Na 0.6250 0.8750 0.7500
Na 0.7500 0.1250 0.3750
Na 0.7500 0.6250 0.8750
Na 0.8750 0.6250 0.2500
Na 0.8750 0.7500 0.6250
Tc 0.0000 0.0000 0.0000
Tc 0.0000 0.0000 0.5000
Tc 0.0000 0.5000 0.0000
Tc 0.0000 0.5000 0.5000
Tc 0.1250 0.7500 0.8750
Tc 0.1250 0.8750 0.2500
Tc 0.2500 0.1250 0.8750
Tc 0.2500 0.6250 0.3750
Tc 0.3750 0.2500 0.6250
Tc 0.3750 0.6250 0.7500
Tc 0.5000 0.0000 0.0000
Tc 0.5000 0.0000 0.5000
Tc 0.5000 0.5000 0.0000
Tc 0.5000 0.5000 0.5000
Tc 0.6250 0.3750 0.2500
Tc 0.6250 0.7500 0.3750
Tc 0.7500 0.3750 0.6250
Tc 0.7500 0.8750 0.1250
Tc 0.8750 0.1250 0.7500
Tc 0.8750 0.2500 0.1250
N 0.0003 0.1839 0.1061
N 0.0003 0.3164 0.8942
N 0.9997 0.6836 0.1058
N 0.9997 0.8161 0.8939
N 0.0779 0.6839 0.6836
N 0.0779 0.8939 0.3942
N 0.1061 0.0003 0.1839
N 0.1058 0.9997 0.6836
N 0.1058 0.6061 0.4221
N 0.1061 0.6058 0.9221
N 0.1839 0.1061 0.0003
N 0.1836 0.1839 0.5779
N 0.1836 0.4997 0.6058
N 0.1839 0.5779 0.1836
N 0.3161 0.3164 0.9221
N 0.3161 0.4997 0.3939
N 0.3164 0.8942 0.0003
N 0.3164 0.9221 0.3161
N 0.3942 0.0779 0.8939
N 0.3939 0.3161 0.4997
N 0.3939 0.5779 0.8942
N 0.3942 0.8164 0.5003
N 0.4221 0.1058 0.6061
N 0.4221 0.8164 0.8161
N 0.4997 0.3939 0.3161
N 0.5003 0.3942 0.8164
N 0.4997 0.6058 0.1836
N 0.5003 0.6061 0.6839
N 0.5779 0.1836 0.1839
N 0.5779 0.8942 0.3939
N 0.6058 0.1836 0.4997
N 0.6061 0.4221 0.1058
N 0.6061 0.6839 0.5003
N 0.6058 0.9221 0.1061
N 0.6836 0.0779 0.6839
N 0.6836 0.1058 0.9997
N 0.6839 0.5003 0.6061
N 0.6839 0.6836 0.0779
N 0.8161 0.4221 0.8164
N 0.8164 0.5003 0.3942
N 0.8164 0.8161 0.4221
N 0.8161 0.8939 0.9997
N 0.8942 0.0003 0.3164
N 0.8939 0.9997 0.8161
N 0.8939 0.3942 0.0779
N 0.8942 0.3939 0.5779
N 0.9221 0.1061 0.6058
N 0.9221 0.3161 0.3164

=====

(4)
Material: NaTc2N2
Method: DFT, PBE-GGA
State: relaxed

- Density of states at the Fermi level: 0.871 states/eV per atom
- Total magnetization: 0.0 μB per cell
- SG: I4/mmm

Lattice parameters (Å, degrees): 4.7883 4.7883 4.7883 131.21 131.21 71.47
Positions (direct):
Na 0.0000 0.0000 0.0000
Tc 0.3542 0.3542 0.0000
Tc 0.6458 0.6458 0.0000
N 0.2500 0.7500 0.5000
N 0.7500 0.2500 0.5000

=====

(5)
Material: NaTcN2
Method: DFT, PBE-GGA
State: relaxed

- Density of states at the Fermi level: 0.488 states/eV per atom
- Total magnetization: 0.0 μB per cell
- SG: Pnma

Lattice parameters (Å, degrees): 5.9124 5.8893 7.4651 90.00 90.00 90.00
Positions (direct):
Na 0.1423 0.2500 0.1064
Na 0.3577 0.7500 0.6064
Na 0.6423 0.2500 0.3936
Na 0.8577 0.7500 0.8936
Tc 0.0885 0.2500 0.6339
Tc 0.4115 0.7500 0.1339
Tc 0.5885 0.2500 0.8661
Tc 0.9115 0.7500 0.3661
N 0.0000 0.0000 0.5000
N 0.0000 0.5000 0.5000
N 0.0915 0.7500 0.1573
N 0.4085 0.2500 0.6573
N 0.5000 0.0000 0.0000
N 0.5000 0.5000 0.0000
N 0.5915 0.7500 0.3427
N 0.9085 0.2500 0.8427

=====

(6)
Material: NaTcN2
Method: DFT, PBE-GGA
State: relaxed

- Density of states at the Fermi level: 0.957 states/eV per atom
- Total magnetization: 0.0 μB per cell
- SG: R-3m

Lattice parameters (Å, degrees): 6.9911 6.9911 6.9911 24.43 24.43 24.43
Positions (direct):
Na 0.0000 0.0000 0.0000
Tc 0.5000 0.5000 0.5000
N 0.1088 0.1088 0.1088
N 0.8912 0.8912 0.8912

=====

(7)
Material: Na3TcN
Method: DFT, PBE-GGA
State: relaxed

- Density of states at the Fermi level: 0.444 states/eV per atom
- Total magnetization: 5.0 μB per cell
- SG: Pm-3m

Lattice parameters (Å, degrees): 4.7755 4.7755 4.7755 90.00 90.00 90.00
Positions (direct):
Na 0.0000 0.0000 0.5000
Na 0.0000 0.5000 0.0000
Na 0.5000 0.0000 0.0000
Tc 0.5000 0.5000 0.5000
N 0.0000 0.0000 0.0000

=====

(8)
Material: NaTcTeN2
Method: DFT, PBE-GGA
State: relaxed

- Density of states at the Fermi level: 1.917 states/eV per atom
- Total magnetization: 0.0 μB per cell
- SG: P4/mmm

Lattice parameters (Å, degrees): 4.0511 4.0511 5.2049 90.00 90.00 90.00
Positions (direct):
Na 0.0000 0.0000 0.0000
Tc 0.5000 0.5000 0.5000
Te 0.0000 0.0000 0.5000
N 0.0000 0.5000 0.0000
N 0.5000 0.0000 0.0000

=====

(9)
Material: NaTcTeN2
Method: DFT, PBE-GGA
State: relaxed

- Density of states at the Fermi level: 0.765 states/eV per atom
- Total magnetization: 0.1 μB per cell
- SG: P4/mmm

Lattice parameters (Å, degrees): 3.9325 3.9325 5.6659 90.00 90.00 90.00
Positions (direct):
Na 0.0000 0.0000 0.0000
Tc 0.5000 0.5000 0.5000
Te 0.5000 0.5000 0.0000
N 0.0000 0.5000 0.5000
N 0.5000 0.0000 0.5000

=====

(10)
Material: NaTc2TeN
Method: DFT, PBE-GGA
State: relaxed

- Density of states at the Fermi level: 0.694 states/eV per atom
- Total magnetization: 0.0 μB per cell
- SG: P4/mmm

Lattice parameters (Å, degrees): 4.0577 4.0577 4.8214 90.00 90.00 90.00
Positions (direct):
Na 0.0000 0.0000 0.0000
Tc 0.0000 0.5000 0.5000
Tc 0.5000 0.0000 0.5000
Te 0.5000 0.5000 0.0000
N 0.0000 0.0000 0.5000

=====

(11)
Material: NaTh2TcN4
Method: DFT, PBE-GGA
State: relaxed

- Density of states at the Fermi level: 0.406 states/eV per atom
- Total magnetization: 0.0 μB per cell
- SG: Cmcm

Lattice parameters (Å, degrees): 6.6241 6.6241 12.4465 90.00 90.00 148.18
Positions (direct):
Na 0.0601 0.9399 0.7500
Na 0.9399 0.0601 0.2500
Th 0.3687 0.6313 0.5494
Th 0.3687 0.6313 0.9506
Th 0.6313 0.3687 0.0494
Th 0.6313 0.3687 0.4506
Tc 0.2142 0.7858 0.2500
Tc 0.7858 0.2142 0.7500
N 0.0000 0.0000 0.0000
N 0.0000 0.0000 0.5000
N 0.2478 0.7522 0.0953
N 0.2478 0.7522 0.4047
N 0.3563 0.6437 0.7500
N 0.6437 0.3563 0.2500
N 0.7522 0.2478 0.5953
N 0.7522 0.2478 0.9047

=====

(12)
Material: NaThTcN3
Method: DFT, PBE-GGA
State: relaxed

- Density of states at the Fermi level: 0.232 states/eV per atom
- Total magnetization: 0.0 μB per cell
- SG: P2_1/m

Lattice parameters (Å, degrees): 7.2767 3.5740 8.5356 90.00 97.45 90.00
Positions (direct):
Na 0.1524 0.2500 0.1335
Na 0.8476 0.7500 0.8665
Th 0.3769 0.7500 0.8349
Th 0.6231 0.2500 0.1651
Tc 0.0565 0.2500 0.6100
Tc 0.9435 0.7500 0.3900
N 0.1126 0.2500 0.8250
N 0.1730 0.7500 0.5560
N 0.4199 0.7500 0.1103
N 0.5801 0.2500 0.8897
N 0.8270 0.2500 0.4440
N 0.8874 0.7500 0.1750

=====

What did we get for formation energy (no corrections)? Answer: 2.01; -0.14; 0.23; 0.32; -0.10; 0.31; 1.18; 2.60; 0.39; 0.21; -0.86; -0.57 eV/atom, in the order shown.